# LaCeCd4 PBE optimized geometry
data_LaCeCd4
_cell_length_a 6.775
_cell_length_b 17.798
_cell_length_c 5.146
_cell_angle_alpha 90.00
_cell_angle_beta 90.00
_cell_angle_gamma 90.00
_space_group_name_H-M_alt 'C m c m'
_space_group_IT_number 63
_space_group_name_Hall '-C 2c 2'
loop_
_atom_site_label
_atom_site_type_symbol
_atom_site_fract_x
_atom_site_fract_y
_atom_site_fract_z
_atom_site_occupancy
La1 La 0.000 0.124 0.250 1
Ce1 Ce 0.000 0.374 0.750 1
Cd1 Cd 0.238 0.458 0.250 1
Cd2 Cd 0.246 0.292 0.250 1
# energy relative to the lowest polymorph listed for this composition = 1 meV per atom
# total magnetic moment = 1.430 μB per formula unit
# DFT total energy = -2.730 eV/atom